# 1
The following is a DFT calculation (PBE) of a relaxed structure of NaGaCuNi.

Geometry as POSCAR:
```
NaGaCuNi
1.0
2.673 0.000 0.000
0.000 3.982 0.000
-1.330 0.000 6.080
Na Ga Cu Ni
1 1 1 1
Cartesian
0.000 0.000 0.000 Na
-0.001 1.991 3.850 Ga
1.343 1.991 1.659 Cu
1.334 0.000 3.202 Ni
```

Results
crystal system = monoclinic
calculated volume = 16.176 A^3/atom
formation energy = 69 meV per atom
energy above the lowest structure with this stoichiometry = 108 meV per atom
space group = No. 6

# 2
The following is a DFT calculation (PBE) of a relaxed structure of Cs4RbGe3Cl12.

Geometry as POSCAR:
```
Cs4RbGe3Cl12
1.0
-5.468 5.468 5.468
5.468 -5.468 5.468
5.468 5.468 -5.468
Cs Rb Ge Cl
4 1 3 12
Cartesian
2.734 2.734 -2.734 Cs
2.734 -2.734 2.734 Cs
-2.734 2.734 2.734 Cs
2.734 2.734 2.734 Cs
0.000 0.000 0.000 Rb
5.468 0.000 0.000 Ge
0.000 5.468 0.000 Ge
0.000 0.000 5.468 Ge
2.994 0.000 0.000 Cl
7.943 0.000 0.000 Cl
5.468 2.734 0.000 Cl
5.468 0.000 2.734 Cl
0.000 2.994 0.000 Cl
0.000 0.000 2.994 Cl
2.734 5.468 0.000 Cl
2.734 0.000 5.468 Cl
0.000 7.943 0.000 Cl
0.000 0.000 7.943 Cl
0.000 5.468 2.734 Cl
0.000 2.734 5.468 Cl
```

Results
crystal system = cubic
calculated volume = 32.703 A^3/atom
space group = No. 229
E_form (uncorrected) = -1.382 eV per atom

# 3
The following is a DFT calculation (PBE) of a relaxed structure of Ni3AgOs.

Geometry as POSCAR:
```
Ni3AgOs
1.0
4.507 0.000 0.000
0.000 4.507 0.000
0.000 0.000 4.507
Ni Ag Os
3 1 1
Cartesian
0.000 0.000 2.254 Ni
0.000 2.254 0.000 Ni
2.254 0.000 0.000 Ni
2.254 2.254 2.254 Ag
0.000 0.000 0.000 Os
```

Results
crystal system = cubic
calculated volume = 18.313 A^3/atom
formation energy = 1293 meV per atom
energy above the lowest structure with this stoichiometry = 0 meV per atom
space group = No. 221

# 4
The following is a DFT calculation (PBE) of a relaxed structure of Na2CdP.

Geometry as POSCAR:
```
Na2CdP
1.0
4.338 0.000 0.000
0.000 4.338 0.000
0.000 0.000 20.131
Na Cd P
8 4 4
Cartesian
0.953 1.085 2.516 Na
1.085 3.122 7.549 Na
1.085 3.385 17.614 Na
1.216 1.085 12.582 Na
3.122 3.254 12.582 Na
3.254 0.953 17.614 Na
3.254 1.216 7.549 Na
3.385 3.254 2.516 Na
0.000 0.000 10.065 Cd
0.000 2.169 15.098 Cd
2.169 0.000 5.033 Cd
2.169 2.169 0.000 Cd
0.000 0.000 0.000 P
0.000 2.169 5.033 P
2.169 0.000 15.098 P
2.169 2.169 10.065 P
```

Results
crystal system = tetragonal
calculated volume = 23.679 A^3/atom
formation energy = 106 meV per atom
space group = No. 122

- Which of these has the lowest calculated volume?
  NaGaCuNi